Entry from the Alexandria database: a geometry-optimized ZrCu2Te structure (PBE-GGA).

Unit cell a=3.6286 b=3.6286 c=5.6378 alpha=90.00 beta=90.00 gamma=90.00
Fractional positions:
Zr (0.0000, 0.0000, 0.0000)
Cu (0.5000, 0.5000, 0.2299)
Cu (0.5000, 0.5000, 0.7701)
Te (0.0000, 0.0000, 0.5000)

As for the space-group type: P4/mmm.

=====

Entry from the Alexandria database: a geometry-optimized Rb2NbSeF6 structure (PBE-GGA).

Unit cell a=7.0830 b=7.0830 c=7.0830 alpha=117.72 beta=117.72 gamma=94.00
Fractional positions:
Rb (0.2500, 0.7500, 0.5000)
Rb (0.7500, 0.2500, 0.5000)
Nb (0.0000, 0.0000, 0.0000)
Se (0.5000, 0.5000, 0.0000)
F (0.1881, 0.1881, 0.3761)
F (0.1881, 0.8119, 0.0000)
F (0.2017, 0.2017, 0.0000)
F (0.7983, 0.7983, 0.0000)
F (0.8119, 0.1881, 0.0000)
F (0.8119, 0.8119, 0.6239)

As for the space-group type: I4/mmm.

=====

Sequential spin magnetization output: 0.00 1.00 μB per formula unit
Sequential E_form (uncorrected) output: -0.050 -2.396 eV per atom
Sequential calculated density output: 7.74 2.93 g cm⁻³